DFT (PBE) results for a geometry-optimized CaAsCl4 structure.

abc: 6.022 6.022 6.022
angles: 60.00 60.00 60.00
Last column: magnetic moment on the atom in μB.
Fractional positions:
1 As 0.750 0.750 0.750  1.07
2 Cl 0.375 0.876 0.375  0.44
3 Cl 0.375 0.375 0.876  0.44
4 Cl 0.375 0.375 0.375  0.44
5 Cl 0.876 0.375 0.375  0.44
6 Ca 0.000 0.000 0.000  0.05

Output
Space-group type: F-43m
Fermi-level density of states in states/eV/f.u.: 7.4
DFT total energy in eV per atom: -2.386

DFT (PBE) results for a geometry-optimized Na2GaRuO4 structure.

abc: 5.178 5.178 5.178
angles: 104.90 111.80 111.80
Last column: magnetic moment on the atom in μB.
Fractional positions:
1 Na 0.500 0.750 0.250  0.00
2 Na 0.000 0.000 0.000  0.00
3 O 0.949 0.459 0.109  0.14
4 O 0.649 0.490 0.541  0.14
5 O 0.351 0.891 0.840  0.14
6 O 0.051 0.160 0.510  0.14
7 Ru 0.500 0.250 0.750  2.14
8 Ga 0.000 0.500 0.500  0.03

Output
Space-group type: I-4
DFT total energy in eV per atom: -5.677

DFT (PBE) results for a geometry-optimized Dy3Tm4 structure.

abc: 5.798 8.910 5.494
angles: 112.27 121.85 90.00
Fractional positions:
1 Dy 0.573 0.717 0.145
2 Dy 0.000 0.000 0.000
3 Dy 0.427 0.283 0.855
4 Tm 0.145 0.433 0.290
5 Tm 0.716 0.144 0.431
6 Tm 0.855 0.567 0.710
7 Tm 0.284 0.856 0.569

Output
E_form in eV/atom: 0.13
Space-group type: C2/m
Fermi-level density of states in states/eV/f.u.: 15.6

DFT (PBE) results for a geometry-optimized FeRhSe2 structure.

abc: 3.660 3.660 6.351
angles: 73.23 73.23 60.14
Last column: magnetic moment on the atom in μB.
Fractional positions:
1 Se 0.502 0.502 0.495  0.07
2 Se 0.998 0.998 0.005  0.07
3 Fe 0.750 0.750 0.750  3.08
4 Rh 0.250 0.250 0.250  -0.02

Output
Space-group type: C2/m
Fermi-level density of states in states/eV/f.u.: 4.1
DFT total energy in eV per atom: -5.692